Record 1
UBiRh PBE relaxed; ΔH_f (0 K) = -0.1475 eV/atom; E_tot = -45.9 eV per cell; density of states at the Fermi level = 1.050 states/eV/atom; space-group type = R-3m
1.0
1.950 1.126 10.676
-1.950 1.126 10.676
0.000 -2.251 10.676
U Bi Rh
2 2 2
direct
0.190 0.190 0.190 U
0.810 0.810 0.810 U
0.376 0.376 0.376 Bi
0.624 0.624 0.624 Bi
0.095 0.095 0.095 Rh
0.905 0.905 0.905 Rh

Record 2
VBiRh PBE relaxed; ΔH_f (0 K) = 0.0436 eV/atom; E_tot = -40.4 eV per cell; density of states at the Fermi level = 0.881 states/eV/atom; space-group type = P-1
1.0
3.225 0.000 0.000
-1.610 5.033 0.000
-0.006 -0.804 6.850
V Bi Rh
2 2 2
direct
0.161 0.322 0.448 V
0.839 0.678 0.552 V
0.420 0.843 0.233 Bi
0.580 0.157 0.767 Bi
0.313 0.625 0.838 Rh
0.687 0.375 0.162 Rh

Record 3
VBi2Rh PBE relaxed; ΔH_f (0 K) = 0.4815 eV/atom; E_tot = -22.3 eV per cell; density of states at the Fermi level = 0.852 states/eV/atom; space-group type = R-3m
1.0
1.721 0.994 9.470
-1.721 0.994 9.470
0.000 -1.987 9.470
V Bi Rh
1 2 1
direct
0.000 0.000 0.000 V
0.098 0.098 0.098 Bi
0.902 0.902 0.902 Bi
0.500 0.500 0.500 Rh

Record 4
VBi2Rh PBE relaxed; ΔH_f (0 K) = 0.4757 eV/atom; E_tot = -44.7 eV per cell; density of states at the Fermi level = 1.451 states/eV/atom; space-group type = I-42d
1.0
-3.839 3.839 3.162
3.839 -3.839 3.162
3.839 3.839 -3.162
V Bi Rh
2 4 2
direct
0.000 0.000 0.000 V
0.750 0.250 0.500 V
0.147 0.125 0.522 Bi
0.375 0.853 0.978 Bi
0.603 0.625 0.478 Bi
0.875 0.397 0.022 Bi
0.250 0.750 0.500 Rh
0.500 0.500 0.000 Rh

Record 5
V2BiRh PBE relaxed; ΔH_f (0 K) = 0.4284 eV/atom; E_tot = -55.5 eV per cell; density of states at the Fermi level = 1.099 states/eV/atom; space-group type = I-42d
1.0
-3.609 3.609 2.770
3.609 -3.609 2.770
3.609 3.609 -2.770
V Bi Rh
4 2 2
direct
0.087 0.125 0.462 V
0.375 0.913 0.038 V
0.663 0.625 0.538 V
0.875 0.337 0.962 V
0.250 0.750 0.500 Bi
0.500 0.500 0.000 Bi
0.000 0.000 0.000 Rh
0.750 0.250 0.500 Rh

Record 6
V3BiRh PBE relaxed; ΔH_f (0 K) = 0.7772 eV/atom; E_tot = -34.7 eV per cell; density of states at the Fermi level = 1.822 states/eV/atom; energy relative to the lowest polymorph listed for this composition = 0.0 meV/atom; space-group type = Pm-3m
1.0
4.693 0.000 0.000
0.000 4.693 0.000
0.000 0.000 4.693
V Bi Rh
3 1 1
direct
0.000 0.000 0.500 V
0.000 0.500 0.000 V
0.500 0.000 0.000 V
0.500 0.500 0.500 Bi
0.000 0.000 0.000 Rh

Record 7
ZrVBi2Rh PBE relaxed; ΔH_f (0 K) = 1.2587 eV/atom; E_tot = -26.5 eV per cell; density of states at the Fermi level = 0.944 states/eV/atom; space-group type = P4/mmm
1.0
5.542 0.000 0.000
0.000 5.542 0.000
0.000 0.000 4.648
Zr V Bi Rh
1 1 2 1
direct
0.000 0.000 0.000 Zr
0.000 0.000 0.500 V
0.000 0.500 0.000 Bi
0.500 0.000 0.000 Bi
0.500 0.500 0.500 Rh

Record 8
BiRh3W PBE relaxed; ΔH_f (0 K) = 0.8389 eV/atom; E_tot = -34.7 eV per cell; density of states at the Fermi level = 0.845 states/eV/atom; energy relative to the lowest polymorph listed for this composition = 0.0 meV/atom; space-group type = Pm-3m
1.0
4.756 0.000 0.000
0.000 4.756 0.000
0.000 0.000 4.756
Bi Rh W
1 3 1
direct
0.000 0.000 0.000 Bi
0.000 0.500 0.500 Rh
0.500 0.000 0.500 Rh
0.500 0.500 0.000 Rh
0.500 0.500 0.500 W

Record 9
Bi3RhW PBE relaxed; ΔH_f (0 K) = 1.2415 eV/atom; E_tot = -25.7 eV per cell; density of states at the Fermi level = 1.088 states/eV/atom; energy relative to the lowest polymorph listed for this composition = 45.6 meV/atom; space-group type = Pm-3m
1.0
5.250 0.000 0.000
0.000 5.250 0.000
0.000 0.000 5.250
Bi Rh W
3 1 1
direct
0.000 0.000 0.500 Bi
0.000 0.500 0.000 Bi
0.500 0.000 0.000 Bi
0.000 0.000 0.000 Rh
0.500 0.500 0.500 W

Record 10
BiRh2W PBE relaxed; ΔH_f (0 K) = 0.7296 eV/atom; E_tot = -57.2 eV per cell; density of states at the Fermi level = 1.598 states/eV/atom; space-group type = I-42d
1.0
-2.899 2.899 5.950
2.899 -2.899 5.950
2.899 2.899 -5.950
Bi Rh W
2 4 2
direct
0.000 0.000 0.000 Bi
0.750 0.250 0.500 Bi
0.163 0.625 0.038 Rh
0.375 0.413 0.538 Rh
0.587 0.125 0.962 Rh
0.875 0.837 0.462 Rh
0.250 0.750 0.500 W
0.500 0.500 0.000 W

Record 11
Bi3RhW PBE relaxed; ΔH_f (0 K) = 1.1959 eV/atom; E_tot = -26.0 eV per cell; density of states at the Fermi level = 0.875 states/eV/atom; energy relative to the lowest polymorph listed for this composition = 0.0 meV/atom; space-group type = Pm-3m
1.0
5.321 0.000 0.000
0.000 5.321 0.000
0.000 0.000 5.321
Bi Rh W
3 1 1
direct
0.000 0.000 0.500 Bi
0.000 0.500 0.000 Bi
0.500 0.000 0.000 Bi
0.500 0.500 0.500 Rh
0.000 0.000 0.000 W

Record 12
BiRhW3 PBE relaxed; ΔH_f (0 K) = 1.8430 eV/atom; E_tot = -40.9 eV per cell; density of states at the Fermi level = 1.350 states/eV/atom; energy relative to the lowest polymorph listed for this composition = 0.0 meV/atom; space-group type = Pm-3m
1.0
4.788 0.000 0.000
0.000 4.788 0.000
0.000 0.000 4.788
Bi Rh W
1 1 3
direct
0.000 0.000 0.000 Bi
0.500 0.500 0.500 Rh
0.000 0.500 0.500 W
0.500 0.000 0.500 W
0.500 0.500 0.000 W

Record 13
YBiRh3 PBE relaxed; ΔH_f (0 K) = 0.4585 eV/atom; E_tot = -30.1 eV per cell; density of states at the Fermi level = 3.944 states/eV/atom; energy relative to the lowest polymorph listed for this composition = 0.0 meV/atom; space-group type = Pm-3m
1.0
4.938 0.000 0.000
0.000 4.938 0.000
0.000 0.000 4.938
Y Bi Rh
1 1 3
direct
0.000 0.000 0.000 Y
0.500 0.500 0.500 Bi
0.000 0.500 0.500 Rh
0.500 0.000 0.500 Rh
0.500 0.500 0.000 Rh

Record 14
Y12BiRh6 PBE relaxed; ΔH_f (0 K) = -0.6366 eV/atom; E_tot = -137.7 eV per cell; density of states at the Fermi level = 0.555 states/eV/atom; space-group type = Im-3
1.0
-4.984 4.984 4.984
4.984 -4.984 4.984
4.984 4.984 -4.984
Y Bi Rh
12 1 6
direct
0.111 0.303 0.808 Y
0.192 0.495 0.303 Y
0.192 0.889 0.697 Y
0.303 0.192 0.495 Y
0.303 0.808 0.111 Y
0.495 0.303 0.192 Y
0.505 0.697 0.808 Y
0.697 0.192 0.889 Y
0.697 0.808 0.505 Y
0.808 0.111 0.303 Y
0.808 0.505 0.697 Y
0.889 0.697 0.192 Y
0.000 0.000 0.000 Bi
0.129 0.500 0.629 Rh
0.371 0.871 0.500 Rh
0.500 0.371 0.871 Rh
0.500 0.629 0.129 Rh
0.629 0.129 0.500 Rh
0.871 0.500 0.371 Rh

Record 15
Y2Bi3Rh4 PBE relaxed; ΔH_f (0 K) = -0.4799 eV/atom; E_tot = -116.6 eV per cell; density of states at the Fermi level = 0.579 states/eV/atom; space-group type = Cmce
1.0
3.105 -8.417 0.000
3.105 8.417 0.000
0.000 0.000 7.396
Y Bi Rh
4 6 8
direct
0.097 0.903 0.908 Y
0.403 0.597 0.408 Y
0.597 0.403 0.592 Y
0.903 0.097 0.092 Y
0.000 0.000 0.500 Bi
0.012 0.488 0.750 Bi
0.488 0.012 0.250 Bi
0.500 0.500 0.000 Bi
0.512 0.988 0.750 Bi
0.988 0.512 0.250 Bi
0.162 0.838 0.526 Rh
0.179 0.321 0.750 Rh
0.321 0.179 0.250 Rh
0.338 0.662 0.026 Rh
0.662 0.338 0.974 Rh
0.679 0.821 0.750 Rh
0.821 0.679 0.250 Rh
0.838 0.162 0.474 Rh

Record 16
Y5BiRh2 PBE relaxed; ΔH_f (0 K) = -0.7124 eV/atom; E_tot = -113.2 eV per cell; density of states at the Fermi level = 0.960 states/eV/atom; space-group type = I4/mcm
1.0
-3.919 3.919 6.813
3.919 -3.919 6.813
3.919 3.919 -6.813
Y Bi Rh
10 2 4
direct
0.000 0.000 0.000 Y
0.021 0.521 0.811 Y
0.210 0.021 0.500 Y
0.290 0.790 0.811 Y
0.479 0.290 0.500 Y
0.500 0.500 0.000 Y
0.521 0.710 0.500 Y
0.710 0.210 0.189 Y
0.790 0.979 0.500 Y
0.979 0.479 0.189 Y
0.250 0.250 0.000 Bi
0.750 0.750 0.000 Bi
0.140 0.360 0.500 Rh
0.360 0.860 0.220 Rh
0.640 0.140 0.780 Rh
0.860 0.640 0.500 Rh

Record 17
Y2BiRh2 PBE relaxed; ΔH_f (0 K) = -0.5196 eV/atom; E_tot = -34.1 eV per cell; density of states at the Fermi level = 0.916 states/eV/atom; energy relative to the lowest polymorph listed for this composition = 217.5 meV/atom; space-group type = I4/mmm
1.0
-2.707 2.707 4.102
2.707 -2.707 4.102
2.707 2.707 -4.102
Y Bi Rh
2 1 2
direct
0.250 0.750 0.500 Y
0.750 0.250 0.500 Y
0.000 0.000 0.000 Bi
0.346 0.346 0.000 Rh
0.654 0.654 0.000 Rh

Record 18
Y3BiRh PBE relaxed; ΔH_f (0 K) = -0.5044 eV/atom; E_tot = -33.1 eV per cell; density of states at the Fermi level = 1.214 states/eV/atom; energy relative to the lowest polymorph listed for this composition = 99.9 meV/atom; space-group type = Pm-3m
1.0
5.359 0.000 0.000
0.000 5.359 0.000
0.000 0.000 5.359
Y Bi Rh
3 1 1
direct
0.000 0.000 0.500 Y
0.000 0.500 0.000 Y
0.500 0.000 0.000 Y
0.500 0.500 0.500 Bi
0.000 0.000 0.000 Rh

Record 19
YBi2Rh PBE relaxed; ΔH_f (0 K) = -0.0514 eV/atom; E_tot = -21.8 eV per cell; density of states at the Fermi level = 0.492 states/eV/atom; space-group type = R-3m
1.0
1.784 1.030 10.071
-1.784 1.030 10.071
0.000 -2.060 10.071
Y Bi Rh
1 2 1
direct
0.000 0.000 0.000 Y
0.104 0.104 0.104 Bi
0.896 0.896 0.896 Bi
0.500 0.500 0.500 Rh

Record 20
YBi3Rh PBE relaxed; ΔH_f (0 K) = 0.0638 eV/atom; E_tot = -25.1 eV per cell; density of states at the Fermi level = 1.138 states/eV/atom; energy relative to the lowest polymorph listed for this composition = 0.0 meV/atom; space-group type = Pm-3m
1.0
5.336 0.000 0.000
0.000 5.336 0.000
0.000 0.000 5.336
Y Bi Rh
1 3 1
direct
0.000 0.000 0.000 Y
0.000 0.500 0.500 Bi
0.500 0.000 0.500 Bi
0.500 0.500 0.000 Bi
0.500 0.500 0.500 Rh

Record 21
Y4BiRh PBE relaxed; ΔH_f (0 K) = -0.5862 eV/atom; E_tot = -81.2 eV per cell; density of states at the Fermi level = 1.050 states/eV/atom; energy relative to the lowest polymorph listed for this composition = 25.2 meV/atom; space-group type = C2/c
1.0
4.533 -6.779 0.000
4.533 6.779 0.000
-2.525 0.000 5.573
Y Bi Rh
8 2 2
direct
0.061 0.716 0.928 Y
0.206 0.352 0.660 Y
0.284 0.939 0.572 Y
0.352 0.206 0.160 Y
0.648 0.794 0.840 Y
0.716 0.061 0.428 Y
0.794 0.648 0.340 Y
0.939 0.284 0.072 Y
0.374 0.626 0.250 Bi
0.626 0.374 0.750 Bi
0.001 0.999 0.750 Rh
0.999 0.001 0.250 Rh

Record 22
Y2BiRh PBE relaxed; ΔH_f (0 K) = -0.8148 eV/atom; E_tot = -54.8 eV per cell; density of states at the Fermi level = 0.183 states/eV/atom; space-group type = P2_1/m
1.0
6.253 0.000 0.000
0.000 4.341 0.000
-3.004 0.000 7.609
Y Bi Rh
4 2 2
direct
0.162 0.250 0.398 Y
0.244 0.750 0.048 Y
0.756 0.250 0.952 Y
0.838 0.750 0.602 Y
0.394 0.750 0.708 Bi
0.606 0.250 0.292 Bi
0.120 0.250 0.792 Rh
0.880 0.750 0.208 Rh

Record 23
Y4BiRh PBE relaxed; ΔH_f (0 K) = -0.6114 eV/atom; E_tot = -81.5 eV per cell; density of states at the Fermi level = 0.970 states/eV/atom; energy relative to the lowest polymorph listed for this composition = 0.0 meV/atom; space-group type = P2_1/m
1.0
6.198 0.000 0.000
0.000 6.638 0.000
-3.006 0.000 8.248
Y Bi Rh
8 2 2
direct
0.009 0.000 0.205 Y
0.009 0.500 0.205 Y
0.401 0.250 0.623 Y
0.433 0.250 0.092 Y
0.567 0.750 0.908 Y
0.599 0.750 0.377 Y
0.991 0.000 0.795 Y
0.991 0.500 0.795 Y
0.206 0.750 0.547 Bi
0.794 0.250 0.453 Bi
0.262 0.750 0.068 Rh
0.738 0.250 0.932 Rh

Record 24
Y2BiRh PBE relaxed; ΔH_f (0 K) = -0.7172 eV/atom; E_tot = -27.0 eV per cell; density of states at the Fermi level = 0.240 states/eV/atom; space-group type = P4/mmm
1.0
3.584 0.000 0.000
0.000 3.584 0.000
0.000 0.000 7.738
Y Bi Rh
2 1 1
direct
0.000 0.000 0.212 Y
0.000 0.000 0.788 Y
0.500 0.500 0.500 Bi
0.500 0.500 0.000 Rh

Record 25
YBi3Rh PBE relaxed; ΔH_f (0 K) = 0.9719 eV/atom; E_tot = -20.6 eV per cell; density of states at the Fermi level = 1.443 states/eV/atom; energy relative to the lowest polymorph listed for this composition = 908.1 meV/atom; space-group type = Pm-3m
1.0
5.791 0.000 0.000
0.000 5.791 0.000
0.000 0.000 5.791
Y Bi Rh
1 3 1
direct
0.000 0.000 0.000 Y
0.000 0.000 0.500 Bi
0.000 0.500 0.000 Bi
0.500 0.000 0.000 Bi
0.500 0.500 0.500 Rh